# Ti2NbReH

An optimized crystal structure of Ti2NbReH (GGA-PBE, Alexandria via LeMat-Bulk).

The energy relative to the lowest polymorph listed for this composition is 0 kJ/mol of formula units. The electronic total energy comes out at -8.445 eV per atom. The calculation puts the theoretical density at 9149 kg/m3. The magnetization is 0.00 μB/f.u. The space-group type is P4/mmm.

Cell lengths 3.843, 3.843, 4.620 Å; angles 90.00, 90.00, 90.00 degrees
Sites, in units of the cell vectors:
Ti: 0.000 0.500 0.000
Ti: 0.500 0.000 0.000
Nb: 0.000 0.000 0.500
Re: 0.500 0.500 0.500
H: 0.000 0.000 0.000

---

# ThZr3S

An optimized crystal structure of ThZr3S (GGA-PBE, Alexandria via LeMat-Bulk).

The calculation puts the uncorrected formation energy at -0.469 eV/atom. The electronic total energy comes out at -7.908 eV per atom. The calculation puts the theoretical density at 7279 kg/m3. The magnetization is 0.00 μB/f.u. The space-group type is Pm-3m.

Cell lengths 4.969, 4.969, 4.969 Å; angles 90.00, 90.00, 90.00 degrees
Sites, in units of the cell vectors:
Th: 0.000 0.000 0.000
Zr: 0.000 0.500 0.500
Zr: 0.500 0.000 0.500
Zr: 0.500 0.500 0.000
S: 0.500 0.500 0.500

---

# Rb4AuBrCl2

An optimized crystal structure of Rb4AuBrCl2 (GGA-PBE, Alexandria via LeMat-Bulk).

The calculation puts the uncorrected formation energy at -1.462 eV/atom. The electronic total energy comes out at -3.026 eV per atom. The calculation puts the theoretical density at 3503 kg/m3. The magnetization is 0.00 μB/f.u. The space-group type is Fmm2.

Cell lengths 8.438, 6.886, 8.443 Å; angles 65.89, 48.15, 65.96 degrees
Sites, in units of the cell vectors:
Rb: 0.248 0.752 0.248
Rb: 0.500 0.999 0.500
Rb: 0.752 0.248 0.752
Rb: 0.999 0.500 0.001
Au: 0.499 0.499 0.501
Br: 0.000 0.000 0.000
Cl: 0.250 0.250 0.250
Cl: 0.750 0.750 0.750

---

# CsBe2PI

An optimized crystal structure of CsBe2PI (GGA-PBE, Alexandria via LeMat-Bulk).

The calculation puts the uncorrected formation energy at 0.370 eV/atom. The electronic total energy comes out at -2.684 eV per atom. The calculation puts the theoretical density at 2200 kg/m3. The magnetization is 0.00 μB/f.u. The space-group type is P4/mmm.

Cell lengths 4.599, 4.599, 11.017 Å; angles 90.00, 90.00, 90.00 degrees
Sites, in units of the cell vectors:
Cs: 0.000 0.000 0.000
Be: 0.000 0.500 0.500
Be: 0.500 0.000 0.500
P: 0.500 0.500 0.500
I: 0.500 0.500 0.000

---

# P2OsSe

An optimized crystal structure of P2OsSe (GGA-PBE, Alexandria via LeMat-Bulk).

The calculation puts the uncorrected formation energy at 0.082 eV/atom. The electronic total energy comes out at -6.301 eV per atom. The calculation puts the theoretical density at 8438 kg/m3. The magnetization is 0.00 μB/f.u. The space-group type is Pm.

Cell lengths 4.889, 2.954, 5.069 Å; angles 90.00, 117.12, 90.00 degrees
Sites, in units of the cell vectors:
P: 0.000 0.000 0.000
P: 0.396 0.000 0.844
Os: 0.199 0.500 0.421
Se: 0.673 0.500 0.368

---

# NiMoBr2

An optimized crystal structure of NiMoBr2 (GGA-PBE, Alexandria via LeMat-Bulk).

The calculation puts the uncorrected formation energy at 0.751 eV/atom. The energy relative to the lowest polymorph listed for this composition is 274 kJ/mol of formula units. The electronic total energy comes out at -4.238 eV per atom. The calculation puts the theoretical density at 7016 kg/m3. The magnetization is 1.00 μB/f.u. The space-group type is Immm.

Cell lengths 5.268, 5.268, 5.268 Å; angles 145.42, 113.61, 77.06 degrees
Sites, in units of the cell vectors:
Ni: 0.000 0.000 0.000
Mo: 0.500 0.500 0.000
Br: 0.243 0.743 0.500
Br: 0.757 0.257 0.500

---

# Tm3GaCo

An optimized crystal structure of Tm3GaCo (GGA-PBE, Alexandria via LeMat-Bulk).

The energy relative to the lowest polymorph listed for this composition is 10 kJ/mol of formula units. The electronic total energy comes out at -5.040 eV per atom. The calculation puts the theoretical density at 9115 kg/m3. The magnetization is 0.00 μB/f.u. The space-group type is C2/m. For the formation energy, the calculation gives -331 meV/atom.

Cell lengths 7.869, 7.869, 8.247 Å; angles 91.83, 91.83, 26.98 degrees
Sites, in units of the cell vectors:
Tm: 0.056 0.056 0.206
Tm: 0.249 0.249 0.799
Tm: 0.396 0.396 0.446
Tm: 0.604 0.604 0.554
Tm: 0.751 0.751 0.201
Tm: 0.944 0.944 0.794
Ga: 0.398 0.398 0.076
Ga: 0.602 0.602 0.924
Co: 0.212 0.212 0.436
Co: 0.788 0.788 0.564

---

# Ce2InTc

An optimized crystal structure of Ce2InTc (GGA-PBE, Alexandria via LeMat-Bulk).

The energy relative to the lowest polymorph listed for this composition is 69 kJ/mol of formula units. The electronic total energy comes out at -6.279 eV per atom. The calculation puts the theoretical density at 8491 kg/m3. The magnetization is 0.05 μB/f.u. The space-group type is Fm-3m. For the formation energy, the calculation gives -36 meV/atom.

Cell lengths 5.147, 5.147, 5.147 Å; angles 60.00, 60.00, 60.00 degrees
Sites, in units of the cell vectors:
Ce: 0.250 0.250 0.250
Ce: 0.750 0.750 0.750
In: 0.000 0.000 0.000
Tc: 0.500 0.500 0.500

---

# V6HCN

An optimized crystal structure of V6HCN (GGA-PBE, Alexandria via LeMat-Bulk).

The electronic total energy comes out at -8.890 eV per atom. The calculation puts the theoretical density at 5824 kg/m3. The magnetization is 0.00 μB/f.u. The space-group type is P-31c.

Cell lengths 4.871, 4.871, 9.232 Å; angles 90.00, 90.00, 120.00 degrees
Sites, in units of the cell vectors:
V: 0.002 0.333 0.124
V: 0.002 0.670 0.376
V: 0.330 0.333 0.376
V: 0.330 0.998 0.124
V: 0.333 0.002 0.624
V: 0.333 0.330 0.876
V: 0.667 0.670 0.124
V: 0.667 0.998 0.376
V: 0.670 0.002 0.876
V: 0.670 0.667 0.624
V: 0.998 0.330 0.624
V: 0.998 0.667 0.876
H: 0.333 0.667 0.250
H: 0.667 0.333 0.750
C: 0.333 0.667 0.750
C: 0.667 0.333 0.250
N: 0.000 0.000 0.000
N: 0.000 0.000 0.500

---

# Tb3Pr4Al4

An optimized crystal structure of Tb3Pr4Al4 (GGA-PBE, Alexandria via LeMat-Bulk).

The electronic total energy comes out at -4.581 eV per atom. The calculation puts the theoretical density at 6061 kg/m3. The magnetization is 0.00 μB/f.u. The space-group type is Immm. For the formation energy, the calculation gives -219 meV/atom.

Cell lengths 10.721, 10.721, 10.721 Å; angles 160.85, 128.64, 55.31 degrees
Sites, in units of the cell vectors:
Tb: 0.000 0.000 0.000
Tb: 0.407 0.907 0.500
Tb: 0.593 0.093 0.500
Pr: 0.011 0.335 0.676
Pr: 0.341 0.665 0.676
Pr: 0.659 0.335 0.324
Pr: 0.989 0.665 0.324
Al: 0.277 0.277 0.000
Al: 0.279 0.500 0.779
Al: 0.721 0.500 0.221
Al: 0.723 0.723 0.000

---

# ZrPtW2

An optimized crystal structure of ZrPtW2 (GGA-PBE, Alexandria via LeMat-Bulk).

The energy relative to the lowest polymorph listed for this composition is 36 kJ/mol of formula units. The electronic total energy comes out at -10.201 eV per atom. The calculation puts the theoretical density at 15715 kg/m3. The magnetization is 0.00 μB/f.u. The space-group type is I-4m2. For the formation energy, the calculation gives -77 meV/atom.

Cell lengths 4.605, 4.605, 4.605 Å; angles 119.96, 119.96, 90.07 degrees
Sites, in units of the cell vectors:
Zr: 0.000 0.000 0.000
Pt: 0.750 0.250 0.500
W: 0.250 0.750 0.500
W: 0.500 0.500 0.000

---

# La4CdPb12

An optimized crystal structure of La4CdPb12 (GGA-PBE, Alexandria via LeMat-Bulk).

The electronic total energy comes out at -4.154 eV per atom. The calculation puts the theoretical density at 9910 kg/m3. The magnetization is 0.00 μB/f.u. The space-group type is Im-3m. For the formation energy, the calculation gives -323 meV/atom.

Cell lengths 8.822, 8.822, 8.822 Å; angles 109.47, 109.47, 109.47 degrees
Sites, in units of the cell vectors:
La: 0.000 0.000 0.500
La: 0.000 0.500 0.000
La: 0.500 0.000 0.000
La: 0.500 0.500 0.500
Cd: 0.000 0.000 0.000
Pb: 0.000 0.288 0.288
Pb: 0.000 0.712 0.712
Pb: 0.250 0.500 0.750
Pb: 0.250 0.750 0.500
Pb: 0.288 0.000 0.288
Pb: 0.288 0.288 0.000
Pb: 0.500 0.250 0.750
Pb: 0.500 0.750 0.250
Pb: 0.712 0.000 0.712
Pb: 0.712 0.712 0.000
Pb: 0.750 0.250 0.500
Pb: 0.750 0.500 0.250

---

# Ba2FeHgN

An optimized crystal structure of Ba2FeHgN (GGA-PBE, Alexandria via LeMat-Bulk).

The calculation puts the uncorrected formation energy at -0.322 eV/atom. The electronic total energy comes out at -4.509 eV per atom. The calculation puts the theoretical density at 7052 kg/m3. The magnetization is 0.87 μB/f.u. The space-group type is P4/mmm.

Cell lengths 5.935, 5.935, 3.644 Å; angles 90.00, 90.00, 90.00 degrees
Sites, in units of the cell vectors:
Ba: 0.000 0.500 0.000
Ba: 0.500 0.000 0.000
Fe: 0.000 0.000 0.500
Hg: 0.500 0.500 0.500
N: 0.000 0.000 0.000

---

# CuSn

An optimized crystal structure of CuSn (GGA-PBE, Alexandria via LeMat-Bulk).

The electronic total energy comes out at -3.975 eV per atom. The calculation puts the theoretical density at 8019 kg/m3. The magnetization is 0.00 μB/f.u. The space-group type is P2_12_12_1. For the formation energy, the calculation gives 75 meV/atom.

Cell lengths 5.340, 5.447, 10.379 Å; angles 90.00, 90.00, 90.00 degrees
Sites, in units of the cell vectors:
Cu: 0.145 0.100 0.005
Cu: 0.177 0.621 0.681
Cu: 0.323 0.379 0.181
Cu: 0.355 0.900 0.505
Cu: 0.645 0.400 0.995
Cu: 0.677 0.879 0.319
Cu: 0.823 0.121 0.819
Cu: 0.855 0.600 0.495
Sn: 0.150 0.597 0.952
Sn: 0.174 0.885 0.251
Sn: 0.326 0.115 0.751
Sn: 0.350 0.403 0.452
Sn: 0.650 0.903 0.048
Sn: 0.674 0.615 0.749
Sn: 0.826 0.385 0.249
Sn: 0.850 0.097 0.548

---

# Y4SeS2N

An optimized crystal structure of Y4SeS2N (GGA-PBE, Alexandria via LeMat-Bulk).

The calculation puts the uncorrected formation energy at -1.801 eV/atom. The electronic total energy comes out at -7.541 eV per atom. The calculation puts the theoretical density at 5186 kg/m3. The magnetization is 0.00 μB/f.u. The space-group type is P2/m.

Cell lengths 6.651, 3.808, 6.850 Å; angles 90.00, 108.84, 90.00 degrees
Sites, in units of the cell vectors:
Y: 0.221 0.000 0.211
Y: 0.238 0.500 0.787
Y: 0.762 0.500 0.213
Y: 0.779 0.000 0.789
Se: 0.000 0.000 0.500
S: 0.500 0.000 0.000
S: 0.500 0.500 0.500
N: 0.000 0.500 0.000

---

# Tb7TmHg4

An optimized crystal structure of Tb7TmHg4 (GGA-PBE, Alexandria via LeMat-Bulk).

The electronic total energy comes out at -3.279 eV per atom. The calculation puts the theoretical density at 10052 kg/m3. The magnetization is 0.00 μB/f.u. The space-group type is C2/m. For the formation energy, the calculation gives -105 meV/atom.

Cell lengths 7.851, 7.851, 9.785 Å; angles 119.93, 119.93, 42.50 degrees
Sites, in units of the cell vectors:
Tb: 0.000 0.000 0.000
Tb: 0.233 0.233 0.686
Tb: 0.291 0.291 0.113
Tb: 0.434 0.434 0.596
Tb: 0.566 0.566 0.404
Tb: 0.709 0.709 0.887
Tb: 0.767 0.767 0.314
Tm: 0.500 0.500 0.000
Hg: 0.047 0.047 0.727
Hg: 0.188 0.188 0.341
Hg: 0.812 0.812 0.659
Hg: 0.953 0.953 0.273

---

# Pr3Mg4In4

An optimized crystal structure of Pr3Mg4In4 (GGA-PBE, Alexandria via LeMat-Bulk).

The electronic total energy comes out at -3.264 eV per atom. The calculation puts the theoretical density at 5525 kg/m3. The magnetization is 0.00 μB/f.u. The space-group type is Immm. For the formation energy, the calculation gives -385 meV/atom.

Cell lengths 9.171, 9.171, 9.171 Å; angles 149.44, 130.87, 58.97 degrees
Sites, in units of the cell vectors:
Pr: 0.000 0.000 0.000
Pr: 0.377 0.877 0.500
Pr: 0.623 0.123 0.500
Mg: 0.024 0.329 0.695
Mg: 0.367 0.671 0.695
Mg: 0.633 0.329 0.305
Mg: 0.976 0.671 0.305
In: 0.216 0.216 0.000
In: 0.307 0.500 0.807
In: 0.693 0.500 0.193
In: 0.784 0.784 0.000

---

# LiAlI2N

An optimized crystal structure of LiAlI2N (GGA-PBE, Alexandria via LeMat-Bulk).

The calculation puts the uncorrected formation energy at 0.745 eV/atom. The energy relative to the lowest polymorph listed for this composition is 459 kJ/mol of formula units. The electronic total energy comes out at -2.671 eV per atom. The calculation puts the theoretical density at 4349 kg/m3. The magnetization is 0.00 μB/f.u. The space-group type is P4/mmm.

Cell lengths 5.481, 5.481, 3.835 Å; angles 90.00, 90.00, 90.00 degrees
Sites, in units of the cell vectors:
Li: 0.000 0.000 0.000
Al: 0.500 0.500 0.500
I: 0.000 0.500 0.000
I: 0.500 0.000 0.000
N: 0.000 0.000 0.500

---

# Mg2Zn3Ag

An optimized crystal structure of Mg2Zn3Ag (GGA-PBE, Alexandria via LeMat-Bulk).

The energy relative to the lowest polymorph listed for this composition is 0 kJ/mol of formula units. The electronic total energy comes out at -1.799 eV per atom. The calculation puts the theoretical density at 5652 kg/m3. The magnetization is 0.00 μB/f.u. The space-group type is C2/m. For the formation energy, the calculation gives -156 meV/atom.

Cell lengths 5.211, 5.211, 5.329 Å; angles 119.07, 119.07, 59.87 degrees
Sites, in units of the cell vectors:
Mg: 0.124 0.124 0.373
Mg: 0.876 0.876 0.627
Zn: 0.000 0.500 0.000
Zn: 0.500 0.000 0.000
Zn: 0.500 0.500 0.000
Ag: 0.500 0.500 0.500

---

# Mn2InCl

An optimized crystal structure of Mn2InCl (GGA-PBE, Alexandria via LeMat-Bulk).

The calculation puts the uncorrected formation energy at 0.182 eV/atom. The energy relative to the lowest polymorph listed for this composition is 56 kJ/mol of formula units. The electronic total energy comes out at -5.549 eV per atom. The calculation puts the theoretical density at 5953 kg/m3. The magnetization is 7.77 μB/f.u. The space-group type is P4/mmm.

Cell lengths 3.068, 3.068, 7.711 Å; angles 90.00, 90.00, 90.00 degrees
Sites, in units of the cell vectors:
Mn: 0.000 0.000 0.244
Mn: 0.000 0.000 0.756
In: 0.500 0.500 0.500
Cl: 0.500 0.500 0.000

---

# YHo5Er7

An optimized crystal structure of YHo5Er7 (GGA-PBE, Alexandria via LeMat-Bulk).

The electronic total energy comes out at -4.458 eV per atom. The calculation puts the theoretical density at 8267 kg/m3. The magnetization is 0.00 μB/f.u. The space-group type is Imm2. For the formation energy, the calculation gives 257 meV/atom.

Cell lengths 8.615, 8.615, 8.615 Å; angles 134.79, 100.04, 96.95 degrees
Sites, in units of the cell vectors:
Y: 0.000 0.000 0.000
Ho: 0.031 0.036 0.460
Ho: 0.031 0.571 0.995
Ho: 0.576 0.036 0.005
Ho: 0.576 0.571 0.540
Ho: 0.804 0.304 0.500
Er: 0.225 0.552 0.673
Er: 0.298 0.798 0.500
Er: 0.310 0.310 0.000
Er: 0.384 0.052 0.333
Er: 0.614 0.614 0.000
Er: 0.719 0.052 0.667
Er: 0.879 0.552 0.327